# 1
First-principles (PBE) data for crystalline Ta5Nb4Rh2 at its relaxed geometry, as listed in the Alexandria database.

Values from the calculation:
Calculated formation energy in eV/atom: -0.21
M_tot in μB/f.u.: 0.0
Volume in Å³/cell: 192.6
Calculated density in g/cm3: 12.8
SG: C2/m, No. 12
Uncorrected energy in eV/cell: -116.57

abc: 8.4707 8.4707 7.2256
angles: 104.75 104.75 22.62
Last column: nearest neighbours and their distance in Å.
Positions (direct):
Ta (0.0000, 0.0000, 0.0000)  4 Ta 2.83, 4 Nb 2.83
Ta (0.2756, 0.2756, 0.3683)  2 Rh 2.78, 4 Ta 2.82-2.89, 2 Nb 2.83
Ta (0.3650, 0.3650, 0.8168)  2 Rh 2.79, 4 Ta 2.83-2.89, 2 Nb 2.85
Ta (0.6350, 0.6350, 0.1832)  2 Rh 2.79, 4 Ta 2.83-2.89, 2 Nb 2.85
Ta (0.7244, 0.7244, 0.6317)  2 Rh 2.78, 4 Ta 2.82-2.89, 2 Nb 2.83
Nb (0.1821, 0.1821, 0.9086)  4 Ta 2.83-2.85, 4 Nb 2.84-2.85
Nb (0.4551, 0.4551, 0.2746)  2 Ta 2.83, 4 Rh 2.84-2.85, 2 Nb 2.85
Nb (0.5449, 0.5449, 0.7254)  2 Ta 2.83, 4 Rh 2.84-2.85, 2 Nb 2.85
Nb (0.8179, 0.8179, 0.0914)  4 Ta 2.83-2.85, 4 Nb 2.84-2.85
Rh (0.0929, 0.0929, 0.4537)  4 Ta 2.78-2.79, 4 Nb 2.84-2.85
Rh (0.9071, 0.9071, 0.5463)  4 Ta 2.78-2.79, 4 Nb 2.84-2.85

---

# 2
First-principles (PBE) data for crystalline TaNb2Rh6 at its relaxed geometry, as listed in the Alexandria database.

Values from the calculation:
Calculated formation energy in eV/atom: -0.12
M_tot in μB/f.u.: 0.0
Volume in Å³/cell: 162.0
Calculated density in g/cm3: 10.1
SG: C2/m, No. 12
Uncorrected energy in eV/cell: -77.22

abc: 7.3311 7.3311 4.2648
angles: 106.84 106.84 48.20
Last column: nearest neighbours and their distance in Å.
Positions (direct):
Ta (0.0000, 0.0000, 0.0000)  8 Rh 2.59-2.60
Nb (0.3332, 0.3332, 0.3332)  8 Rh 2.60
Nb (0.6668, 0.6668, 0.6668)  8 Rh 2.60
Rh (0.0844, 0.5832, 0.8339)  1 Ta 2.59, 3 Nb 2.60
Rh (0.2482, 0.7518, 0.5000)  2 Nb 2.60, 2 Ta 2.60
Rh (0.4168, 0.9156, 0.1661)  1 Ta 2.59, 3 Nb 2.60
Rh (0.5832, 0.0844, 0.8339)  1 Ta 2.59, 3 Nb 2.60
Rh (0.7518, 0.2482, 0.5000)  2 Nb 2.60, 2 Ta 2.60
Rh (0.9156, 0.4168, 0.1661)  1 Ta 2.59, 3 Nb 2.60

---

# 3
First-principles (PBE) data for crystalline Ta7Nb2Rh at its relaxed geometry, as listed in the Alexandria database.

Values from the calculation:
Calculated formation energy in eV/atom: 1.48
M_tot in μB/f.u.: 0.0
Volume in Å³/cell: 222.7
Calculated density in g/cm3: 11.6
SG: Fm-3m, No. 225
Uncorrected energy in eV/cell: -95.62

abc: 6.8034 6.8034 6.8034
angles: 60.00 60.00 60.00
Last column: nearest neighbours and their distance in Å.
Positions (direct):
Ta (0.0000, 0.0000, 0.0000)  6 Ta 2.44
Ta (0.2533, 0.2533, 0.7467)  1 Rh 2.37, 1 Ta 2.44
Ta (0.2533, 0.7467, 0.2533)  1 Rh 2.37, 1 Ta 2.44
Ta (0.2533, 0.7467, 0.7467)  1 Rh 2.37, 1 Ta 2.44
Ta (0.7467, 0.2533, 0.2533)  1 Rh 2.37, 1 Ta 2.44
Ta (0.7467, 0.2533, 0.7467)  1 Rh 2.37, 1 Ta 2.44
Ta (0.7467, 0.7467, 0.2533)  1 Rh 2.37, 1 Ta 2.44
Nb (0.2500, 0.2500, 0.2500)  12 Ta 3.40
Nb (0.7500, 0.7500, 0.7500)  12 Ta 3.40
Rh (0.5000, 0.5000, 0.5000)  6 Ta 2.37